(1)
Entry from Alexandria: a relaxed structure of CuSnSb (PBE).

Computed properties:
- VASP energy: -47.53 eV/cell
- Formation energy (no corrections): 0.113 eV per atom
- Distance to the lowest polymorph of the same formula: 0.070 eV per atom

Cell lengths 11.4419, 10.8371, 5.3385 Å; angles 82.54, 69.90, 27.56 degrees
Sites, in units of the cell vectors:
Cu  0.0080  0.0080  0.2420
Cu  0.2420  0.2420  0.0080
Cu  0.7580  0.7580  0.9920
Cu  0.9920  0.9920  0.7580
Sn  0.0464  0.7036  0.0464
Sn  0.2964  0.9536  0.2964
Sn  0.7036  0.0464  0.7036
Sn  0.9536  0.2964  0.9536
Sb  0.2921  0.2921  0.4579
Sb  0.4579  0.4579  0.2921
Sb  0.5421  0.5421  0.7079
Sb  0.7079  0.7079  0.5421

(2)
Entry from Alexandria: a relaxed structure of SmAlHg2 (PBE).

Computed properties:
- Calculated formation energy: -0.318 eV per atom
- VASP energy: -41.36 eV/cell

Cell lengths 8.4034, 7.3551, 6.0514 Å; angles 90.00, 90.00, 90.00 degrees
Sites, in units of the cell vectors:
Sm  0.0354  0.2500  0.1267
Sm  0.4646  0.7500  0.6267
Sm  0.5354  0.2500  0.3733
Sm  0.9646  0.7500  0.8733
Al  0.0920  0.7500  0.3695
Al  0.4080  0.2500  0.8695
Al  0.5920  0.7500  0.1305
Al  0.9080  0.2500  0.6305
Hg  0.1912  0.0434  0.6254
Hg  0.1912  0.4566  0.6254
Hg  0.3088  0.5434  0.1254
Hg  0.3088  0.9566  0.1254
Hg  0.6912  0.0434  0.8746
Hg  0.6912  0.4566  0.8746
Hg  0.8088  0.5434  0.3746
Hg  0.8088  0.9566  0.3746

(3)
Entry from Alexandria: a relaxed structure of La2Nd4HoSc (PBE).

Computed properties:
- Calculated formation energy: 0.040 eV per atom
- VASP energy: -39.51 eV/cell

Cell lengths 5.0888, 5.1277, 10.3158 Å; angles 90.00, 90.07, 90.00 degrees
Sites, in units of the cell vectors:
La  0.0000  0.0000  0.0000
La  0.5000  0.5000  0.5000
Nd  0.0000  0.5000  0.2536
Nd  0.0000  0.5000  0.7464
Nd  0.4994  0.0000  0.7455
Nd  0.5006  0.0000  0.2545
Ho  0.5000  0.5000  0.0000
Sc  0.0000  0.0000  0.5000

(4)
Entry from Alexandria: a relaxed structure of ZrTaSi2 (PBE).

Computed properties:
- VASP energy: -32.51 eV/cell
- Formation energy (no corrections): -0.317 eV per atom
- Distance to the lowest polymorph of the same formula: 0.337 eV per atom

Cell lengths 5.2258, 5.2258, 5.2258 Å; angles 136.48, 136.48, 63.24 degrees
Sites, in units of the cell vectors:
Zr  0.0000  0.0000  0.0000
Ta  0.2500  0.7500  0.5000
Si  0.5000  0.5000  0.0000
Si  0.7500  0.2500  0.5000

(5)
Entry from Alexandria: a relaxed structure of Rb2Zn2F5 (PBE).

Computed properties:
- VASP energy: -33.80 eV/cell
- Formation energy (no corrections): -2.218 eV per atom
- Distance to the lowest polymorph of the same formula: 0.019 eV per atom

Cell lengths 6.4024, 6.4024, 6.7401 Å; angles 105.40, 105.40, 39.92 degrees
Sites, in units of the cell vectors:
Rb  0.1027  0.1027  0.3305
Rb  0.8973  0.8973  0.6695
Zn  0.3466  0.3466  0.1000
Zn  0.6534  0.6534  0.9000
F  0.1620  0.1620  0.9365
F  0.3542  0.3542  0.3971
F  0.5000  0.5000  0.0000
F  0.6458  0.6458  0.6029
F  0.8380  0.8380  0.0635

(6)
Entry from Alexandria: a relaxed structure of NiAgAu2 (PBE).

Computed properties:
- Calculated formation energy: 0.093 eV per atom
- VASP energy: -14.81 eV/cell
- Distance to the lowest polymorph of the same formula: 0.066 eV per atom

Cell lengths 4.7898, 4.7898, 2.9406 Å; angles 90.00, 90.00, 104.68 degrees
Sites, in units of the cell vectors:
Ni  0.0000  0.0000  0.0000
Ag  0.5000  0.5000  0.0000
Au  0.0000  0.5000  0.5000
Au  0.5000  0.0000  0.5000

(7)
Entry from Alexandria: a relaxed structure of ZnIrOs (PBE).

Computed properties:
- Calculated formation energy: 0.029 eV per atom
- VASP energy: -21.28 eV/cell
- Distance to the lowest polymorph of the same formula: 0.000 eV per atom

Cell lengths 6.0877, 6.0877, 6.0877 Å; angles 153.93, 153.93, 37.21 degrees
Sites, in units of the cell vectors:
Zn  0.0000  0.0000  0.0000
Ir  0.6734  0.6734  0.0000
Os  0.3265  0.3265  0.0000

(8)
Entry from Alexandria: a relaxed structure of CaGaRhW2 (PBE).

Computed properties:
- Calculated formation energy: 1.643 eV per atom
- VASP energy: -30.07 eV/cell

Cell lengths 4.6444, 4.6444, 5.0341 Å; angles 90.00, 90.00, 90.00 degrees
Sites, in units of the cell vectors:
Ca  0.0000  0.0000  0.0000
Ga  0.0000  0.0000  0.5000
Rh  0.5000  0.5000  0.0000
W  0.0000  0.5000  0.5000
W  0.5000  0.0000  0.5000

(9)
Entry from Alexandria: a relaxed structure of SrGaSi (PBE).

Computed properties:
- VASP energy: -23.06 eV/cell
- Formation energy (no corrections): -0.465 eV per atom

Cell lengths 4.2128, 4.7527, 7.2602 Å; angles 90.00, 90.00, 90.00 degrees
Sites, in units of the cell vectors:
Sr  0.0000  0.0000  0.0000
Sr  0.5000  0.0000  0.5000
Ga  0.0000  0.5000  0.3298
Ga  0.0000  0.5000  0.6702
Si  0.5000  0.5000  0.1624
Si  0.5000  0.5000  0.8376

(10)
Entry from Alexandria: a relaxed structure of PtN (PBE).

Computed properties:
- VASP energy: -26.80 eV/cell
- Formation energy (no corrections): 0.482 eV per atom

Cell lengths 2.9104, 2.9104, 6.1895 Å; angles 90.00, 90.00, 90.00 degrees
Sites, in units of the cell vectors:
Pt  0.0000  0.5000  0.1619
Pt  0.5000  0.0000  0.8381
N  0.5000  0.5000  0.4043
N  0.5000  0.5000  0.5957

(11)
Entry from Alexandria: a relaxed structure of SmLuScPa (PBE).

Computed properties:
- Calculated formation energy: 0.336 eV per atom
- VASP energy: -23.72 eV/cell

Cell lengths 5.4238, 5.4238, 5.4238 Å; angles 60.00, 60.00, 60.00 degrees
Sites, in units of the cell vectors:
Sm  0.0000  0.0000  0.0000
Lu  0.7500  0.7500  0.7500
Sc  0.5000  0.5000  0.5000
Pa  0.2500  0.2500  0.2500

(12)
Entry from Alexandria: a relaxed structure of PmTh4Au5 (PBE).

Computed properties:
- Calculated formation energy: -0.600 eV per atom
- VASP energy: -56.82 eV/cell

Cell lengths 3.7055, 3.7055, 18.6466 Å; angles 90.00, 90.00, 90.00 degrees
Sites, in units of the cell vectors:
Pm  0.0000  0.0000  0.0000
Th  0.0000  0.0000  0.1996
Th  0.0000  0.0000  0.4000
Th  0.0000  0.0000  0.6000
Th  0.0000  0.0000  0.8004
Au  0.5000  0.5000  0.0976
Au  0.5000  0.5000  0.2995
Au  0.5000  0.5000  0.5000
Au  0.5000  0.5000  0.7005
Au  0.5000  0.5000  0.9024

(13)
Entry from Alexandria: a relaxed structure of CrIr3Br (PBE).

Computed properties:
- VASP energy: -29.81 eV/cell
- Formation energy (no corrections): 1.614 eV per atom

Cell lengths 4.5620, 4.5620, 4.5620 Å; angles 90.00, 90.00, 90.00 degrees
Sites, in units of the cell vectors:
Cr  0.0000  0.0000  0.0000
Ir  0.0000  0.0000  0.5000
Ir  0.0000  0.5000  0.0000
Ir  0.5000  0.0000  0.0000
Br  0.5000  0.5000  0.5000